Entry from OQMD: NaTmCo after structural relaxation (GGA-PBE).

a b c (Å): 4.6140 4.6140 4.6140
angles (deg): 60.00 60.00 60.00
Sites, in units of the cell vectors:
Na 0.0000 0.0000 0.0000
Tm 0.7500 0.7500 0.7500
Co 0.5000 0.5000 0.5000

The offset from the most stable computed form is 388 meV per atom. As for the calculated total energy: -3.34 eV/atom. The size of the total moment is 0.47 μB per formula unit.


Entry from OQMD: NaTmCo after structural relaxation (GGA-PBE).

a b c (Å): 4.5806 4.5806 4.5806
angles (deg): 60.00 60.00 60.00
Sites, in units of the cell vectors:
Na 0.0000 0.0000 0.0000
Tm 0.5000 0.5000 0.5000
Co 0.2500 0.2500 0.2500

The offset from the most stable computed form is 0 meV per atom. As for the calculated total energy: -3.73 eV/atom. The size of the total moment is 0.34 μB per formula unit.


Entry from OQMD: NaYCo after structural relaxation (GGA-PBE).

a b c (Å): 4.6138 4.6138 4.6138
angles (deg): 60.00 60.00 60.00
Sites, in units of the cell vectors:
Na 0.0000 0.0000 0.0000
Y 0.5000 0.5000 0.5000
Co 0.2500 0.2500 0.2500

The offset from the most stable computed form is 0 meV per atom. As for the calculated total energy: -4.40 eV/atom. The size of the total moment is 0.37 μB per formula unit.


Entry from OQMD: NaYCo after structural relaxation (GGA-PBE).

a b c (Å): 4.6804 4.6804 4.6804
angles (deg): 60.00 60.00 60.00
Sites, in units of the cell vectors:
Na 0.0000 0.0000 0.0000
Y 0.7500 0.7500 0.7500
Co 0.5000 0.5000 0.5000

The offset from the most stable computed form is 391 meV per atom. As for the calculated total energy: -4.01 eV/atom. The size of the total moment is 0.59 μB per formula unit.


Entry from OQMD: Na2ZnCo after structural relaxation (GGA-PBE).

a b c (Å): 4.6830 4.6830 4.6830
angles (deg): 60.00 60.00 60.00
Sites, in units of the cell vectors:
Na 0.0000 0.0000 0.0000
Na 0.2500 0.2500 0.2500
Zn 0.5000 0.5000 0.5000
Co 0.7500 0.7500 0.7500

As for the calculated total energy: -2.23 eV/atom. The size of the total moment is 1.09 μB per formula unit.


Entry from OQMD: NbCo3 after structural relaxation (GGA-PBE).

a b c (Å): 4.7020 4.7020 15.3890
angles (deg): 90.00 90.00 120.00
Sites, in units of the cell vectors:
Nb 0.0000 0.0000 0.0000
Nb 0.0000 0.0000 0.1891
Nb 0.0000 0.0000 0.5000
Nb 0.0000 0.0000 0.6891
Nb 0.3333 0.6667 0.2703
Nb 0.6667 0.3333 0.7703
Co 0.9997 0.4999 0.0991
Co 0.0003 0.5001 0.5991
Co 0.1648 0.3295 0.8506
Co 0.1648 0.8352 0.8506
Co 0.3295 0.1648 0.3506
Co 0.3333 0.6667 0.4498
Co 0.3333 0.6667 0.7245
Co 0.3333 0.6667 0.9727
Co 0.5001 0.0003 0.0991
Co 0.4999 0.9997 0.5991
Co 0.5001 0.4999 0.0991
Co 0.4999 0.5001 0.5991
Co 0.6667 0.3333 0.2245
Co 0.6667 0.3333 0.4727
Co 0.6667 0.3333 0.9498
Co 0.6705 0.8352 0.8506
Co 0.8352 0.1648 0.3506
Co 0.8352 0.6705 0.3506

The formation energy comes out at -0.094 eV/atom. As for the calculated total energy: -7.95 eV/atom. The size of the total moment is 2.08 μB per formula unit.


Entry from OQMD: NbCo3 after structural relaxation (GGA-PBE).

a b c (Å): 3.6285 3.6285 3.6285
angles (deg): 90.00 90.00 90.00
Sites, in units of the cell vectors:
Nb 0.0000 0.0000 0.0000
Co 0.0000 0.5000 0.5000
Co 0.5000 0.0000 0.5000
Co 0.5000 0.5000 0.0000

The formation energy comes out at -0.141 eV/atom. As for the calculated total energy: -7.99 eV/atom. The size of the total moment is 0.03 μB per formula unit.


Entry from OQMD: Nb3Co after structural relaxation (GGA-PBE).

a b c (Å): 4.0333 4.0333 4.0333
angles (deg): 90.00 90.00 90.00
Sites, in units of the cell vectors:
Nb 0.0000 0.0000 0.5000
Nb 0.0000 0.5000 0.0000
Nb 0.5000 0.0000 0.0000
Co 0.5000 0.5000 0.5000

The formation energy comes out at 0.207 eV/atom. As for the calculated total energy: -9.14 eV/atom. The size of the total moment is 0.02 μB per formula unit.


Entry from OQMD: Nb3Co after structural relaxation (GGA-PBE).

a b c (Å): 5.2226 5.2226 5.2226
angles (deg): 136.81 136.81 62.73
Sites, in units of the cell vectors:
Nb 0.0000 0.0000 0.0000
Nb 0.2500 0.7500 0.5000
Nb 0.7500 0.2500 0.5000
Co 0.5000 0.5000 0.0000

The formation energy comes out at 0.168 eV/atom. As for the calculated total energy: -9.18 eV/atom. The size of the total moment is 0.07 μB per formula unit.


Entry from OQMD: Nb3Co after structural relaxation (GGA-PBE).

a b c (Å): 5.6277 5.6277 4.8162
angles (deg): 90.00 90.00 120.00
Sites, in units of the cell vectors:
Nb 0.1715 0.3429 0.2500
Nb 0.1715 0.8285 0.2500
Nb 0.3429 0.1715 0.7500
Nb 0.6571 0.8285 0.2500
Nb 0.8285 0.1715 0.7500
Nb 0.8285 0.6571 0.7500
Co 0.3333 0.6667 0.7500
Co 0.6667 0.3333 0.2500

The formation energy comes out at 0.226 eV/atom. As for the calculated total energy: -9.12 eV/atom. The size of the total moment is 0.29 μB per formula unit.


Entry from OQMD: NbCo3 after structural relaxation (GGA-PBE).

a b c (Å): 5.1692 5.1692 4.1478
angles (deg): 90.00 90.00 120.00
Sites, in units of the cell vectors:
Nb 0.3333 0.6667 0.2500
Nb 0.6667 0.3333 0.7500
Co 0.1576 0.3153 0.7500
Co 0.1576 0.8424 0.7500
Co 0.3153 0.1576 0.2500
Co 0.6847 0.8424 0.7500
Co 0.8424 0.1576 0.2500
Co 0.8424 0.6847 0.2500

The formation energy comes out at -0.155 eV/atom. As for the calculated total energy: -8.01 eV/atom. The size of the total moment is 0.02 μB per formula unit.


Entry from OQMD: NdNbCo after structural relaxation (GGA-PBE).

a b c (Å): 4.4737 4.4737 4.4737
angles (deg): 60.00 60.00 60.00
Sites, in units of the cell vectors:
Nd 0.0000 0.0000 0.0000
Nb 0.2500 0.2500 0.2500
Co 0.7500 0.7500 0.7500

The formation energy comes out at 1.425 eV/atom. The offset from the most stable computed form is 532 meV per atom. As for the calculated total energy: -5.90 eV/atom. The size of the total moment is 0.02 μB per formula unit.